Na2MnGaO4 | GGA+U | optimized geometry

For the calculated volume, the calculation gives 84.39 Å³ per cell. Its calculated total energy is -45.7 eV/cell.

The space group is P2/m (No. 10) and the conventional cell measures 5.254, 2.996 and 5.647 Å, with angles of 90.00, 108.30 and 90.00 degrees. Symmetry generates all atoms from Na at (0.000, 0.000, 0.000), Na at (0.500, 0.500, 0.000), Mn at (0.000, 0.500, 0.500), Ga at (0.500, 0.000, 0.500), O at (0.228, 0.000, 0.694) and O at (0.268, 0.500, 0.300).